A plane-wave DFT calculation with GGA-PBE was carried out for a geometry-optimized TaNiS2N structure.

Values from the calculation:
E_form (uncorrected) (meV per atom): 310
Calculated volume (Å³ per cell): 92
ΔE to the lowest computed polymorph (eV per atom): 0.000
Density of states at the Fermi level (states/eV/f.u.): 5.54

a b c (Å): 4.872 4.872 3.890
angles (deg): 90.00 90.00 90.00
Fractional positions:
Ta1 0.000 0.000 0.000
Ni1 0.500 0.500 0.500
S1 0.000 0.500 0.000
S2 0.500 0.000 0.000
N1 0.000 0.000 0.500

***

A plane-wave DFT calculation with GGA-PBE was carried out for a geometry-optimized TcNiS2N structure.

Values from the calculation:
E_form (uncorrected) (meV per atom): 643
Calculated volume (Å³ per cell): 83
ΔE to the lowest computed polymorph (eV per atom): 0.000
Density of states at the Fermi level (states/eV/f.u.): 5.33

a b c (Å): 4.753 4.753 3.674
angles (deg): 90.00 90.00 90.00
Fractional positions:
Tc1 0.000 0.000 0.000
Ni1 0.500 0.500 0.500
S1 0.000 0.500 0.000
S2 0.500 0.000 0.000
N1 0.000 0.000 0.500

***

A plane-wave DFT calculation with GGA-PBE was carried out for a geometry-optimized TcNiS2N structure.

Values from the calculation:
E_form (uncorrected) (meV per atom): 905
Calculated volume (Å³ per cell): 73
ΔE to the lowest computed polymorph (eV per atom): 0.261
Density of states at the Fermi level (states/eV/f.u.): 4.00

a b c (Å): 4.630 4.630 3.388
angles (deg): 90.00 90.00 90.00
Fractional positions:
Tc1 0.000 0.000 0.000
Ni1 0.500 0.500 0.500
S1 0.000 0.500 0.500
S2 0.500 0.000 0.500
N1 0.500 0.500 0.000

***

A plane-wave DFT calculation with GGA-PBE was carried out for a geometry-optimized NiTeS2N structure.

Values from the calculation:
E_form (uncorrected) (meV per atom): 622
Calculated volume (Å³ per cell): 80
ΔE to the lowest computed polymorph (eV per atom): 0.000
Density of states at the Fermi level (states/eV/f.u.): 3.06

a b c (Å): 4.779 4.779 3.508
angles (deg): 90.00 90.00 90.00
Fractional positions:
Ni1 0.000 0.000 0.000
Te1 0.500 0.500 0.500
S1 0.000 0.500 0.000
S2 0.500 0.000 0.000
N1 0.000 0.000 0.500

***

A plane-wave DFT calculation with GGA-PBE was carried out for a geometry-optimized NiTeS2N structure.

Values from the calculation:
E_form (uncorrected) (meV per atom): 1347
Calculated volume (Å³ per cell): 99
ΔE to the lowest computed polymorph (eV per atom): 0.725
Density of states at the Fermi level (states/eV/f.u.): 5.60

a b c (Å): 5.069 5.069 3.868
angles (deg): 90.00 90.00 90.00
Fractional positions:
Ni1 0.000 0.000 0.000
Te1 0.500 0.500 0.500
S1 0.000 0.500 0.500
S2 0.500 0.000 0.500
N1 0.500 0.500 0.000

***

A plane-wave DFT calculation with GGA-PBE was carried out for a geometry-optimized NiWS2N structure.

Values from the calculation:
E_form (uncorrected) (meV per atom): 1016
Calculated volume (Å³ per cell): 72
ΔE to the lowest computed polymorph (eV per atom): 0.507
Density of states at the Fermi level (states/eV/f.u.): 4.68

a b c (Å): 4.628 4.628 3.354
angles (deg): 90.00 90.00 90.00
Fractional positions:
Ni1 0.000 0.000 0.000
W1 0.500 0.500 0.500
S1 0.000 0.500 0.000
S2 0.500 0.000 0.000
N1 0.000 0.000 0.500

***

A plane-wave DFT calculation with GGA-PBE was carried out for a geometry-optimized NiWS2N structure.

Values from the calculation:
E_form (uncorrected) (meV per atom): 510
Calculated volume (Å³ per cell): 87
ΔE to the lowest computed polymorph (eV per atom): 0.000
Density of states at the Fermi level (states/eV/f.u.): 5.63

a b c (Å): 4.781 4.781 3.786
angles (deg): 90.00 90.00 90.00
Fractional positions:
Ni1 0.000 0.000 0.000
W1 0.500 0.500 0.500
S1 0.000 0.500 0.500
S2 0.500 0.000 0.500
N1 0.500 0.500 0.000

***

A plane-wave DFT calculation with GGA-PBE was carried out for a geometry-optimized YNiS2N structure.

Values from the calculation:
E_form (uncorrected) (meV per atom): 739
Calculated volume (Å³ per cell): 117
ΔE to the lowest computed polymorph (eV per atom): 1.203
Density of states at the Fermi level (states/eV/f.u.): 9.54

a b c (Å): 5.241 5.241 4.273
angles (deg): 90.00 90.00 90.00
Fractional positions:
Y1 0.000 0.000 0.000
Ni1 0.500 0.500 0.500
S1 0.000 0.500 0.000
S2 0.500 0.000 0.000
N1 0.000 0.000 0.500

***

Question: Among the records above, which one has the lowest density of states at the Fermi level?
Answer: number 4